Here is a relaxed CaTiF2 crystal from Alexandria. Energies are from PBE-GGA.

For the theoretical density, the calculation gives 2.8 g/cm3. The total energy comes out at -86.55 eV for the cell shown. The calculation puts the polymorph energy (0 for the lowest one) at 0.329 eV per atom. The total magnetization comes out at 14.37 μB/cell. Its energy relative to the elements, uncorrected is -1.999 eV/atom.

The structure belongs to space group I-42d (No. 122); the cell edges are 5.2767, 5.2767 and 10.5460 Å and the angles 90.00°, 90.00° and 90.00°. The distinct sites, in fractional coordinates, are Ca at (0.0000, 0.0000, 0.0000), Ti at (0.0000, 0.0000, 0.5000) and F at (0.2493, 0.2500, 0.1250).